[1]
Sm6Co2RhBr3 | PBE-GGA | relaxed Values from VASP.

The structure in Quantum ESPRESSO input format:
```
&SYSTEM
  ibrav = 0, nat = 12, ntyp = 4
/
ATOMIC_SPECIES
Br 79.90 Br.upf
Sm 150.36 Sm.upf
Co 58.93 Co.upf
Rh 102.91 Rh.upf
CELL_PARAMETERS angstrom
-1.880 0.179 3.509
-3.497 -8.175 -1.457
9.424 -0.473 2.810
ATOMIC_POSITIONS angstrom
Br -0.088 -6.942 0.306
Br -2.688 -3.998 1.026
Sm 1.302 -1.050 3.014
Br 4.136 -1.528 4.556
Sm 0.179 -4.560 2.591
Sm 2.745 -7.421 1.848
Co 1.674 -2.892 1.044
Sm -0.512 -1.868 -0.179
Sm 3.869 -3.910 2.271
Sm 4.560 -6.602 5.041
Rh -0.940 0.089 1.755
Co 2.374 -5.578 3.818
```

Calculated density, g/cm3: 7.07
Formation energy without anion corrections, kJ/mol of formula units: -984


[2]
Sr2CoRhBr | PBE-GGA | relaxed Values from VASP.

The structure in Quantum ESPRESSO input format:
```
&SYSTEM
  ibrav = 0, nat = 5, ntyp = 4
/
ATOMIC_SPECIES
Br 79.90 Br.upf
Sr 87.62 Sr.upf
Rh 102.91 Rh.upf
Co 58.93 Co.upf
CELL_PARAMETERS angstrom
5.780 0.000 0.000
0.000 4.285 0.000
0.000 0.000 5.780
ATOMIC_POSITIONS angstrom
Br 0.000 0.000 0.000
Sr 0.000 0.000 2.890
Rh 2.890 2.143 2.890
Co 0.000 2.143 0.000
Sr 2.890 0.000 0.000
```

Calculated density, g/cm3: 4.84
Formation energy without anion corrections, kJ/mol of formula units: 111


[3]
Co2TeRhBr | PBE-GGA | relaxed Values from VASP.

The structure in Quantum ESPRESSO input format:
```
&SYSTEM
  ibrav = 0, nat = 5, ntyp = 4
/
ATOMIC_SPECIES
Co 58.93 Co.upf
Te 127.60 Te.upf
Rh 102.91 Rh.upf
Br 79.90 Br.upf
CELL_PARAMETERS angstrom
4.826 0.000 0.000
0.000 4.721 0.000
0.000 0.000 4.826
ATOMIC_POSITIONS angstrom
Co 0.000 0.000 2.413
Te 2.413 2.361 2.413
Co 2.413 0.000 0.000
Rh 0.000 0.000 0.000
Br 0.000 2.361 0.000
```

Calculated density, g/cm3: 6.47
Formation energy without anion corrections, kJ/mol of formula units: 507


[4]
Ti2CoRhBr | PBE-GGA | relaxed Values from VASP.

The structure in Quantum ESPRESSO input format:
```
&SYSTEM
  ibrav = 0, nat = 5, ntyp = 4
/
ATOMIC_SPECIES
Ti 47.87 Ti.upf
Br 79.90 Br.upf
Rh 102.91 Rh.upf
Co 58.93 Co.upf
CELL_PARAMETERS angstrom
4.607 0.000 0.000
0.000 4.181 0.000
0.000 0.000 4.607
ATOMIC_POSITIONS angstrom
Ti 0.000 0.000 2.304
Br 0.000 0.000 0.000
Ti 2.304 0.000 0.000
Rh 2.304 2.090 2.304
Co 0.000 2.090 0.000
```

Calculated density, g/cm3: 6.31
Formation energy without anion corrections, kJ/mol of formula units: 313


[5]
TiCo2RhBr | PBE-GGA | relaxed Values from VASP.

The structure in Quantum ESPRESSO input format:
```
&SYSTEM
  ibrav = 0, nat = 5, ntyp = 4
/
ATOMIC_SPECIES
Co 58.93 Co.upf
Ti 47.87 Ti.upf
Br 79.90 Br.upf
Rh 102.91 Rh.upf
CELL_PARAMETERS angstrom
-4.243 0.209 0.241
-0.348 -2.888 -3.634
-0.013 -3.330 2.648
ATOMIC_POSITIONS angstrom
Co -2.122 0.104 0.120
Co -0.007 -1.665 1.324
Ti -2.302 -3.005 -0.372
Br 0.000 0.000 0.000
Rh -0.174 -1.444 -1.817
```

Calculated density, g/cm3: 6.87
Formation energy without anion corrections, kJ/mol of formula units: 473


[6]
Co2RhWBr | PBE-GGA | relaxed Values from VASP.

The structure in Quantum ESPRESSO input format:
```
&SYSTEM
  ibrav = 0, nat = 5, ntyp = 4
/
ATOMIC_SPECIES
Co 58.93 Co.upf
Br 79.90 Br.upf
Rh 102.91 Rh.upf
W 183.84 W.upf
CELL_PARAMETERS angstrom
4.201 0.000 0.000
0.000 4.653 0.000
0.000 0.000 4.201
ATOMIC_POSITIONS angstrom
Co 2.101 0.000 0.000
Co 0.000 0.000 2.101
Br 0.000 0.000 0.000
Rh 2.101 2.326 2.101
W 0.000 2.326 0.000
```

Calculated density, g/cm3: 9.80
Formation energy without anion corrections, kJ/mol of formula units: 746